5
Lattice="-1.929 1.929 7.181 1.929 -1.929 7.181 1.929 1.929 -7.181" Properties=species:S:1:pos:R:3 comment="KMnBeAs2 | Alexandria | PBE-GGA | relaxed" dft_energy_ev_per_cell=-24.84 dos_at_fermi_per_ev_cell=1.9 m_tot_mub_per_fu=3.69 pbc="T T T"
K 0.000 0.000 0.000
Mn 0.000 1.929 3.590
Be 1.929 0.000 3.590
As 0.000 0.000 5.048
As 0.000 0.000 9.313

4
Lattice="2.167 -2.195 0.000 2.167 2.195 0.000 0.000 0.000 8.963" Properties=species:S:1:pos:R:3 comment="Ag2TeAu | Alexandria | PBE-GGA | relaxed" e_form_raw_kj_per_mol_atoms=11.21 dos_at_fermi_per_ev_cell=1.4 m_tot_mub_per_fu=0.00 pbc="T T T"
Ag 0.000 0.000 1.945
Ag 0.000 0.000 7.018
Te 2.167 0.000 4.482
Au 2.167 0.000 0.000

18
Lattice="-4.388 4.388 7.816 4.388 -4.388 7.816 4.388 4.388 -7.816" Properties=species:S:1:pos:R:3 comment="PrY5HoTh2 | Alexandria | PBE-GGA | relaxed" dft_energy_ev_per_cell=-107.27 dos_at_fermi_per_ev_cell=24.1 m_tot_mub_per_fu=0.00 pbc="T T T"
Pr 4.388 0.000 3.908
Pr 0.000 4.388 3.908
Y 0.000 0.000 0.000
Y 6.214 1.826 -2.170
Y 1.826 2.562 -2.170
Y 6.214 1.826 2.170
Y 1.826 2.562 2.170
Y 0.000 0.000 7.816
Y 2.562 1.826 5.645
Y -1.826 2.562 5.645
Y 2.562 1.826 9.986
Y -1.826 2.562 9.986
Ho 0.000 0.000 3.908
Ho 0.000 0.000 11.724
Th 3.344 1.044 0.000
Th 3.344 -1.044 7.816
Th 1.044 5.432 0.000
Th 1.044 3.344 7.816